Here is crystalline NaSr2Te2 at its relaxed geometry from Alexandria. Energies are from PBE-GGA.

Summary:
The value obtained for the formation energy without anion corrections is -1.094 eV/atom. The magnetic moment comes out at 0.68 μB per formula unit. The energy above the most stable polymorph in this dataset comes out at 0.152 eV per atom. The crystal system is tetragonal. The density of states at the Fermi level is 3.11 states/eV per cell.

Cell lengths 9.219, 9.219, 4.207 Å; angles 90.00, 90.00, 90.00 degrees
Space group P4/mbm (No. 127)
Symmetry-distinct sites (fractional):
Na 0.000 0.000 0.000
Sr 0.144 0.356 0.000
Te 0.158 0.658 0.500



Here is crystalline BaZn at its relaxed geometry from Alexandria. Energies are from PBE-GGA.

Summary:
The magnetic moment comes out at 0.24 μB per formula unit. The crystal system is cubic. The density of states at the Fermi level is 9.59 states/eV per cell. The calculation puts the energy of formation from the pure elements at 0.009 eV/atom.

Cell lengths 6.977, 6.977, 6.977 Å; angles 90.00, 90.00, 90.00 degrees
Space group Fm-3m (No. 225)
Symmetry-distinct sites (fractional):
Ba 0.000 0.000 0.000
Zn 0.000 0.000 0.500



Here is crystalline AcLaNdY at its relaxed geometry from Alexandria. Energies are from PBE-GGA.

Summary:
The magnetic moment comes out at 0.00 μB per formula unit. The crystal system is tetragonal. The density of states at the Fermi level is 14.80 states/eV per cell. The calculation puts the energy of formation from the pure elements at 0.093 eV/atom.

Cell lengths 6.153, 6.153, 7.892 Å; angles 90.00, 90.00, 90.00 degrees
Space group I-4m2 (No. 119)
Symmetry-distinct sites (fractional):
Ac 0.000 0.000 0.000
La 0.000 0.000 0.500
Nd 0.000 0.500 0.750
Y 0.000 0.500 0.250



Q: The highest magnetic moment belongs to which entry?
A: NaSr2Te2



Q: Look up the magnetic moment of the second one.
A: 0.24 μB per formula unit